# RbSc2Te (PBE, relaxed)
data_RbSc2Te
_chemical_formula_sum 'Rb2 Sc4 Te2'
_cell_length_a 5.683
_cell_length_b 5.683
_cell_length_c 11.165
_cell_angle_alpha 75.26
_cell_angle_beta 75.26
_cell_angle_gamma 90.00
_symmetry_space_group_name_H-M 'P 1'
_symmetry_Int_Tables_number 1
_symmetry_space_group_name_Hall 'P 1'
loop_
_atom_site_label
_atom_site_type_symbol
_atom_site_fract_x
_atom_site_fract_y
_atom_site_fract_z
Rb1 Rb 0.250 0.750 0.500
Rb2 Rb 0.500 0.500 0.000
Te1 Te 0.000 0.000 0.000
Te2 Te 0.750 0.250 0.500
Sc1 Sc 0.875 0.124 0.750
Sc2 Sc 0.874 0.125 0.250
Sc3 Sc 0.375 0.126 0.750
Sc4 Sc 0.876 0.625 0.250
# Energy relative to the elements, uncorrected: 114.7 meV/atom
# Calculated total energy: -32.63 eV/cell
# D(E_F): 9.6 states/eV per cell
# Theoretical density: 2.99 g cm⁻³



# RbSc3Te (PBE, relaxed)
data_RbSc3Te
_chemical_formula_sum 'Rb1 Sc3 Te1'
_cell_length_a 5.166
_cell_length_b 5.166
_cell_length_c 5.166
_cell_angle_alpha 90.00
_cell_angle_beta 90.00
_cell_angle_gamma 90.00
_symmetry_space_group_name_H-M 'P 1'
_symmetry_Int_Tables_number 1
_symmetry_space_group_name_Hall 'P 1'
loop_
_atom_site_label
_atom_site_type_symbol
_atom_site_fract_x
_atom_site_fract_y
_atom_site_fract_z
Sc1 Sc 0.000 0.000 0.500
Sc2 Sc 0.000 0.500 0.000
Sc3 Sc 0.500 0.000 0.000
Rb1 Rb 0.000 0.000 0.000
Te1 Te 0.500 0.500 0.500
# Energy relative to the elements, uncorrected: 1330.2 meV/atom
# Calculated total energy: -16.45 eV/cell
# D(E_F): 6.3 states/eV per cell
# Theoretical density: 4.19 g cm⁻³
# Offset from the most stable computed form: 5.14 eV per formula unit



# Rb2Sc3Te6 (PBE, relaxed)
data_Rb2Sc3Te6
_chemical_formula_sum 'Rb2 Sc3 Te6'
_cell_length_a 7.178
_cell_length_b 7.179
_cell_length_c 9.261
_cell_angle_alpha 82.57
_cell_angle_beta 75.01
_cell_angle_gamma 60.00
_symmetry_space_group_name_H-M 'P 1'
_symmetry_Int_Tables_number 1
_symmetry_space_group_name_Hall 'P 1'
loop_
_atom_site_label
_atom_site_type_symbol
_atom_site_fract_x
_atom_site_fract_y
_atom_site_fract_z
Te1 Te 0.273 0.000 0.191
Te2 Te 0.727 0.000 0.809
Te3 Te 0.067 0.330 0.809
Te4 Te 0.397 0.670 0.809
Te5 Te 0.603 0.330 0.191
Te6 Te 0.933 0.670 0.191
Rb1 Rb 0.834 0.333 0.500
Rb2 Rb 0.166 0.667 0.500
Sc1 Sc 0.668 0.664 0.000
Sc2 Sc 0.000 0.000 0.000
Sc3 Sc 0.332 0.336 0.000
# Energy relative to the elements, uncorrected: -1176.0 meV/atom
# Calculated total energy: -52.72 eV/cell
# D(E_F): 3.3 states/eV per cell
# Theoretical density: 4.46 g cm⁻³



# Rb5Sc2Te5 (PBE, relaxed)
data_Rb5Sc2Te5
_chemical_formula_sum 'Rb5 Sc2 Te5'
_cell_length_a 4.766
_cell_length_b 8.583
_cell_length_c 13.152
_cell_angle_alpha 102.45
_cell_angle_beta 90.00
_cell_angle_gamma 106.12
_symmetry_space_group_name_H-M 'P 1'
_symmetry_Int_Tables_number 1
_symmetry_space_group_name_Hall 'P 1'
loop_
_atom_site_label
_atom_site_type_symbol
_atom_site_fract_x
_atom_site_fract_y
_atom_site_fract_z
Te1 Te 0.638 0.275 0.792
Te2 Te 0.106 0.212 0.353
Te3 Te 0.362 0.725 0.208
Te4 Te 0.894 0.788 0.647
Te5 Te 0.000 0.000 0.000
Sc1 Sc 0.963 0.925 0.196
Sc2 Sc 0.037 0.075 0.804
Rb1 Rb 0.339 0.678 0.906
Rb2 Rb 0.224 0.449 0.623
Rb3 Rb 0.500 0.000 0.500
Rb4 Rb 0.776 0.551 0.377
Rb5 Rb 0.661 0.322 0.094
# Energy relative to the elements, uncorrected: -1039.7 meV/atom
# Calculated total energy: -45.69 eV/cell
# D(E_F): 5.0 states/eV per cell
# Theoretical density: 3.81 g cm⁻³



# RbSc6Te8 (PBE, relaxed)
data_RbSc6Te8
_chemical_formula_sum 'Rb1 Sc6 Te8'
_cell_length_a 4.219
_cell_length_b 11.165
_cell_length_c 11.165
_cell_angle_alpha 120.00
_cell_angle_beta 90.00
_cell_angle_gamma 90.00
_symmetry_space_group_name_H-M 'P 1'
_symmetry_Int_Tables_number 1
_symmetry_space_group_name_Hall 'P 1'
loop_
_atom_site_label
_atom_site_type_symbol
_atom_site_fract_x
_atom_site_fract_y
_atom_site_fract_z
Te1 Te 0.752 0.649 0.955
Te2 Te 0.752 0.306 0.351
Te3 Te 0.249 0.333 0.667
Te4 Te 0.248 0.955 0.306
Te5 Te 0.248 0.694 0.649
Te6 Te 0.751 0.667 0.333
Te7 Te 0.752 0.045 0.694
Te8 Te 0.248 0.351 0.045
Sc1 Sc 0.749 0.511 0.648
Sc2 Sc 0.749 0.352 0.864
Sc3 Sc 0.251 0.489 0.352
Sc4 Sc 0.251 0.864 0.511
Sc5 Sc 0.251 0.648 0.136
Sc6 Sc 0.749 0.136 0.489
Rb1 Rb 0.500 0.000 0.000
# Energy relative to the elements, uncorrected: -1228.5 meV/atom
# Calculated total energy: -82.52 eV/cell
# D(E_F): 11.0 states/eV per cell
# Theoretical density: 5.02 g cm⁻³



# RbSc3Te (PBE, relaxed)
data_RbSc3Te
_chemical_formula_sum 'Rb1 Sc3 Te1'
_cell_length_a 5.606
_cell_length_b 5.606
_cell_length_c 5.606
_cell_angle_alpha 90.00
_cell_angle_beta 90.00
_cell_angle_gamma 90.00
_symmetry_space_group_name_H-M 'P 1'
_symmetry_Int_Tables_number 1
_symmetry_space_group_name_Hall 'P 1'
loop_
_atom_site_label
_atom_site_type_symbol
_atom_site_fract_x
_atom_site_fract_y
_atom_site_fract_z
Sc1 Sc 0.000 0.500 0.000
Sc2 Sc 0.500 0.000 0.000
Sc3 Sc 0.000 0.000 0.500
Te1 Te 0.000 0.000 0.000
Rb1 Rb 0.500 0.500 0.500
# Energy relative to the elements, uncorrected: 303.2 meV/atom
# Calculated total energy: -21.59 eV/cell
# D(E_F): 7.9 states/eV per cell
# Theoretical density: 3.28 g cm⁻³
# Offset from the most stable computed form: 0.00 eV per formula unit



# RbScTe2 (PBE, relaxed)
data_RbScTe2
_chemical_formula_sum 'Rb2 Sc2 Te4'
_cell_length_a 8.236
_cell_length_b 8.236
_cell_length_c 7.843
_cell_angle_alpha 58.33
_cell_angle_beta 58.33
_cell_angle_gamma 90.00
_symmetry_space_group_name_H-M 'P 1'
_symmetry_Int_Tables_number 1
_symmetry_space_group_name_Hall 'P 1'
loop_
_atom_site_label
_atom_site_type_symbol
_atom_site_fract_x
_atom_site_fract_y
_atom_site_fract_z
Rb1 Rb 0.750 0.250 0.500
Rb2 Rb 0.000 0.000 0.000
Te1 Te 0.211 0.625 0.250
Te2 Te 0.375 0.461 0.750
Te3 Te 0.539 0.125 0.250
Te4 Te 0.875 0.789 0.750
Sc1 Sc 0.500 0.500 0.000
Sc2 Sc 0.250 0.750 0.500
# Energy relative to the elements, uncorrected: -1101.6 meV/atom
# Calculated total energy: -35.98 eV/cell
# D(E_F): 0.0 states/eV per cell
# Theoretical density: 3.59 g cm⁻³



# Rb2ScTe6 (PBE, relaxed)
data_Rb2ScTe6
_chemical_formula_sum 'Rb2 Sc1 Te6'
_cell_length_a 5.047
_cell_length_b 9.449
_cell_length_c 9.449
_cell_angle_alpha 56.94
_cell_angle_beta 82.88
_cell_angle_gamma 82.88
_symmetry_space_group_name_H-M 'P 1'
_symmetry_Int_Tables_number 1
_symmetry_space_group_name_Hall 'P 1'
loop_
_atom_site_label
_atom_site_type_symbol
_atom_site_fract_x
_atom_site_fract_y
_atom_site_fract_z
Te1 Te 0.076 0.332 0.950
Te2 Te 0.924 0.050 0.668
Te3 Te 0.500 0.196 0.804
Te4 Te 0.076 0.950 0.332
Te5 Te 0.500 0.804 0.196
Te6 Te 0.924 0.668 0.050
Rb1 Rb 0.460 0.303 0.303
Rb2 Rb 0.540 0.697 0.697
Sc1 Sc 0.000 0.000 0.000
# Energy relative to the elements, uncorrected: -621.0 meV/atom
# Calculated total energy: -32.71 eV/cell
# D(E_F): 4.3 states/eV per cell
# Theoretical density: 4.36 g cm⁻³



# Rb5ScTe4 (PBE, relaxed)
data_Rb5ScTe4
_chemical_formula_sum 'Rb5 Sc1 Te4'
_cell_length_a 4.969
_cell_length_b 9.166
_cell_length_c 11.121
_cell_angle_alpha 114.44
_cell_angle_beta 102.91
_cell_angle_gamma 90.00
_symmetry_space_group_name_H-M 'P 1'
_symmetry_Int_Tables_number 1
_symmetry_space_group_name_Hall 'P 1'
loop_
_atom_site_label
_atom_site_type_symbol
_atom_site_fract_x
_atom_site_fract_y
_atom_site_fract_z
Te1 Te 0.661 0.160 0.321
Te2 Te 0.339 0.840 0.679
Te3 Te 0.000 0.210 0.001
Te4 Te 0.000 0.790 0.999
Rb1 Rb 0.500 0.500 0.000
Rb2 Rb 0.827 0.566 0.654
Rb3 Rb 0.173 0.910 0.345
Rb4 Rb 0.173 0.434 0.346
Rb5 Rb 0.827 0.090 0.655
Sc1 Sc 0.500 0.000 0.000
# Energy relative to the elements, uncorrected: -905.1 meV/atom
# Calculated total energy: -32.79 eV/cell
# Theoretical density: 3.65 g cm⁻³



# RbSc4Te6 (PBE, relaxed)
data_RbSc4Te6
_chemical_formula_sum 'Rb2 Sc8 Te12'
_cell_length_a 4.251
_cell_length_b 7.361
_cell_length_c 22.387
_cell_angle_alpha 90.00
_cell_angle_beta 90.00
_cell_angle_gamma 106.78
_symmetry_space_group_name_H-M 'P 1'
_symmetry_Int_Tables_number 1
_symmetry_space_group_name_Hall 'P 1'
loop_
_atom_site_label
_atom_site_type_symbol
_atom_site_fract_x
_atom_site_fract_y
_atom_site_fract_z
Rb1 Rb 0.665 0.330 0.250
Rb2 Rb 0.335 0.670 0.750
Te1 Te 0.500 0.000 0.000
Te2 Te 0.363 0.726 0.250
Te3 Te 0.637 0.274 0.750
Te4 Te 0.772 0.543 0.418
Te5 Te 0.958 0.915 0.650
Te6 Te 0.958 0.915 0.850
Te7 Te 0.042 0.085 0.150
Te8 Te 0.228 0.457 0.918
Te9 Te 0.228 0.457 0.582
Te10 Te 0.772 0.543 0.082
Te11 Te 0.042 0.085 0.350
Te12 Te 0.500 0.000 0.500
Sc1 Sc 0.591 0.182 0.629
Sc2 Sc 0.591 0.182 0.871
Sc3 Sc 0.409 0.818 0.371
Sc4 Sc 0.864 0.729 0.538
Sc5 Sc 0.864 0.729 0.962
Sc6 Sc 0.136 0.271 0.462
Sc7 Sc 0.136 0.271 0.038
Sc8 Sc 0.409 0.818 0.129
# Energy relative to the elements, uncorrected: -1162.7 meV/atom
# Calculated total energy: -115.87 eV/cell
# D(E_F): 6.4 states/eV per cell
# Theoretical density: 5.10 g cm⁻³



# RbScTe2 (PBE, relaxed)
data_RbScTe2
_chemical_formula_sum 'Rb1 Sc1 Te2'
_cell_length_a 4.328
_cell_length_b 4.328
_cell_length_c 8.916
_cell_angle_alpha 75.95
_cell_angle_beta 75.95
_cell_angle_gamma 60.00
_symmetry_space_group_name_H-M 'P 1'
_symmetry_Int_Tables_number 1
_symmetry_space_group_name_Hall 'P 1'
loop_
_atom_site_label
_atom_site_type_symbol
_atom_site_fract_x
_atom_site_fract_y
_atom_site_fract_z
Rb1 Rb 0.499 0.499 0.503
Te1 Te 0.063 0.063 0.810
Te2 Te 0.271 0.271 0.188
Sc1 Sc 0.667 0.667 0.999
# Energy relative to the elements, uncorrected: -1229.9 meV/atom
# Calculated total energy: -18.50 eV/cell
# Theoretical density: 4.61 g cm⁻³



# RbSc2Te (PBE, relaxed)
data_RbSc2Te
_chemical_formula_sum 'Rb1 Sc2 Te1'
_cell_length_a 11.096
_cell_length_b 11.096
_cell_length_c 11.096
_cell_angle_alpha 20.12
_cell_angle_beta 20.12
_cell_angle_gamma 20.12
_symmetry_space_group_name_H-M 'P 1'
_symmetry_Int_Tables_number 1
_symmetry_space_group_name_Hall 'P 1'
loop_
_atom_site_label
_atom_site_type_symbol
_atom_site_fract_x
_atom_site_fract_y
_atom_site_fract_z
Rb1 Rb 0.000 0.000 0.000
Sc1 Sc 0.888 0.888 0.888
Sc2 Sc 0.112 0.112 0.112
Te1 Te 0.500 0.500 0.500
# Energy relative to the elements, uncorrected: -87.1 meV/atom
# Calculated total energy: -17.12 eV/cell
# D(E_F): 7.1 states/eV per cell
# Theoretical density: 3.56 g cm⁻³



no.,total magnetization (μB per cell)
1,4.92
2,0.00
3,0.00
4,1.06
5,1.92
6,3.47
7,0.00
8,0.00
9,0.00
10,0.00
11,0.00
12,0.00